Record 1
A plane-wave DFT calculation with PBE-GGA was carried out for a relaxed structure of HfGaPS2.

energy relative to the lowest polymorph listed for this composition: 13.51 kcal/mol of atoms
uncorrected formation energy: 0.264 eV per atom
calculated total energy: -0.3722 Ry per atom

Cell and atoms, written as CIF:
```
data_HfGaPS2
_chemical_formula_sum 'Hf1 Ga1 P1 S2'
_cell_length_a 4.5781
_cell_length_b 4.5781
_cell_length_c 4.6618
_cell_angle_alpha 90.00
_cell_angle_beta 90.00
_cell_angle_gamma 90.00
_symmetry_space_group_name_H-M 'P 4/m m m'
_symmetry_Int_Tables_number 123
_symmetry_space_group_name_Hall '-P 4 2'
loop_
_atom_site_label
_atom_site_type_symbol
_atom_site_fract_x
_atom_site_fract_y
_atom_site_fract_z
Hf1 Hf 0.0000 0.0000 0.0000
Ga1 Ga 0.5000 0.5000 0.5000
P1 P 0.5000 0.5000 0.0000
S1 S 0.0000 0.5000 0.5000
```



Record 2
A plane-wave DFT calculation with PBE-GGA was carried out for a relaxed structure of CeAlZn2Au4.

ΔE_f: -41.5 kJ/mol of atoms
calculated total energy: -0.2644 Ry per atom

Cell and atoms, written as CIF:
```
data_CeAlZn2Au4
_chemical_formula_sum 'Ce3 Al3 Zn6 Au12'
_cell_length_a 4.4887
_cell_length_b 4.4887
_cell_length_c 26.3149
_cell_angle_alpha 90.00
_cell_angle_beta 90.00
_cell_angle_gamma 120.00
_symmetry_space_group_name_H-M 'R -3 m'
_symmetry_Int_Tables_number 166
_symmetry_space_group_name_Hall '-R 3 2"'
loop_
_atom_site_label
_atom_site_type_symbol
_atom_site_fract_x
_atom_site_fract_y
_atom_site_fract_z
Ce1 Ce 0.0000 0.0000 0.0000
Al1 Al 0.0000 0.0000 0.5000
Zn1 Zn 0.0000 0.0000 0.2464
Au1 Au 0.0000 0.0000 0.1339
Au2 Au 0.0000 0.0000 0.3976
```



Record 3
A plane-wave DFT calculation with PBE-GGA was carried out for a relaxed structure of Hf2ZrAl.

ΔE_f: -14.7 kJ/mol of atoms
calculated total energy: -0.6028 Ry per atom

Cell and atoms, written as CIF:
```
data_Hf2ZrAl
_chemical_formula_sum 'Hf2 Zr1 Al1'
_cell_length_a 3.1385
_cell_length_b 3.1385
_cell_length_c 8.5359
_cell_angle_alpha 90.00
_cell_angle_beta 90.00
_cell_angle_gamma 90.00
_symmetry_space_group_name_H-M 'P 4/m m m'
_symmetry_Int_Tables_number 123
_symmetry_space_group_name_Hall '-P 4 2'
loop_
_atom_site_label
_atom_site_type_symbol
_atom_site_fract_x
_atom_site_fract_y
_atom_site_fract_z
Hf1 Hf 0.0000 0.0000 0.2329
Zr1 Zr 0.5000 0.5000 0.5000
Al1 Al 0.5000 0.5000 0.0000
```



Record 4
A plane-wave DFT calculation with PBE-GGA was carried out for a relaxed structure of HoZnNi2.

ΔE_f: -22.0 kJ/mol of atoms
calculated total energy: -0.3367 Ry per atom

Cell and atoms, written as CIF:
```
data_HoZnNi2
_chemical_formula_sum 'Ho1 Zn1 Ni2'
_cell_length_a 4.3013
_cell_length_b 4.3013
_cell_length_c 3.3654
_cell_angle_alpha 90.00
_cell_angle_beta 90.00
_cell_angle_gamma 90.00
_symmetry_space_group_name_H-M 'P 4/m m m'
_symmetry_Int_Tables_number 123
_symmetry_space_group_name_Hall '-P 4 2'
loop_
_atom_site_label
_atom_site_type_symbol
_atom_site_fract_x
_atom_site_fract_y
_atom_site_fract_z
Ho1 Ho 0.0000 0.0000 0.0000
Zn1 Zn 0.5000 0.5000 0.0000
Ni1 Ni 0.0000 0.5000 0.5000
```



Record 5
A plane-wave DFT calculation with PBE-GGA was carried out for a relaxed structure of MgTi5N6.

uncorrected formation energy: -1.605 eV per atom
calculated total energy: -0.6755 Ry per atom

Cell and atoms, written as CIF:
```
data_MgTi5N6
_chemical_formula_sum 'Mg2 Ti10 N12'
_cell_length_a 5.2132
_cell_length_b 9.0159
_cell_length_c 5.2236
_cell_angle_alpha 90.00
_cell_angle_beta 109.54
_cell_angle_gamma 90.00
_symmetry_space_group_name_H-M 'C 1 2/m 1'
_symmetry_Int_Tables_number 12
loop_
_symmetry_equiv_pos_as_xyz
'x,y,z'
'-x,-y,-z'
'-x,y,-z'
'x,-y,z'
'x+1/2,y+1/2,z'
'-x+1/2,-y+1/2,-z'
'-x+1/2,y+1/2,-z'
'x+1/2,-y+1/2,z'
loop_
_atom_site_label
_atom_site_type_symbol
_atom_site_fract_x
_atom_site_fract_y
_atom_site_fract_z
Mg1 Mg 0.0000 0.0000 0.0000
Ti1 Ti 0.0000 0.1635 0.5000
Ti2 Ti 0.0000 0.3341 0.0000
Ti3 Ti 0.0000 0.5000 0.5000
N1 N 0.2480 0.3323 0.7458
N2 N 0.2488 0.5000 0.2481
```



Record 6
A plane-wave DFT calculation with PBE-GGA was carried out for a relaxed structure of Ba2SnBiTe5.

uncorrected formation energy: -0.903 eV per atom
calculated total energy: -0.2905 Ry per atom

Cell and atoms, written as CIF:
```
data_Ba2SnBiTe5
_chemical_formula_sum 'Ba8 Sn4 Bi4 Te20'
_cell_length_a 4.8518
_cell_length_b 20.6641
_cell_length_c 13.8873
_cell_angle_alpha 90.00
_cell_angle_beta 90.00
_cell_angle_gamma 90.00
_symmetry_space_group_name_H-M 'C m c 21'
_symmetry_Int_Tables_number 36
loop_
_symmetry_equiv_pos_as_xyz
'x,y,z'
'-x,-y,z+1/2'
'-x,y,z'
'x,-y,z+1/2'
'x+1/2,y+1/2,z'
'-x+1/2,-y+1/2,z+1/2'
'-x+1/2,y+1/2,z'
'x+1/2,-y+1/2,z+1/2'
loop_
_atom_site_label
_atom_site_type_symbol
_atom_site_fract_x
_atom_site_fract_y
_atom_site_fract_z
Ba1 Ba 0.0000 0.1124 0.0000
Ba2 Ba 0.0000 0.1268 0.6275
Sn1 Sn 0.0000 0.4395 0.7659
Bi1 Bi 0.0000 0.2154 0.3405
Te1 Te 0.0000 0.0499 0.3811
Te2 Te 0.0000 0.2817 0.9869
Te3 Te 0.0000 0.3097 0.6813
Te4 Te 0.0000 0.3595 0.3158
Te5 Te 0.0000 0.4966 0.0830
```



Q: What is the formula in the first record?
A: HfGaPS2